## A
Material: Sm2TmAg2
Method: DFT, PBE
State: optimized geometry

Cell lengths 3.6736, 5.2632, 13.7270 Å; angles 90.00, 97.68, 90.00 degrees
With the nearest neighbours (Å) after each atom.
Element x y z (fractional)
Tm  0.1455  0.2500  0.2906  6 Ag 3.14-3.21
Ag  0.5517  0.2500  0.1035  2 Tm 3.14, 6 Sm 3.21-3.25
Sm  0.9527  0.2500  0.9062  8 Ag 3.16-3.25
Sm  0.7650  0.2500  0.5316  2 Ag 3.12-3.13, 4 Sm 3.32-3.33
Sm  0.0473  0.7500  0.0938  8 Ag 3.16-3.25
Ag  0.3581  0.2500  0.7175  4 Sm 3.12-3.16, 4 Tm 3.21
Sm  0.2350  0.7500  0.4684  2 Ag 3.12-3.13, 4 Sm 3.32-3.33
Tm  0.8545  0.7500  0.7094  6 Ag 3.14-3.21
Ag  0.4483  0.7500  0.8965  2 Tm 3.14, 6 Sm 3.21-3.25
Ag  0.6419  0.7500  0.2825  4 Sm 3.12-3.16, 4 Tm 3.21

Values from the calculation:
Density of states at the Fermi level (states/eV/f.u.): 4.28
Space-group type: Cmcm

---

## B
Material: Sm2TmAg2
Method: DFT, PBE
State: optimized geometry

Cell lengths 4.7008, 5.7732, 11.5868 Å; angles 112.75, 90.00, 90.00 degrees
With the nearest neighbours (Å) after each atom.
Element x y z (fractional)
Ag  0.2500  0.3370  0.9680  2 Ag 2.92, 4 Sm 3.03-3.15, 3 Tm 3.06-3.08
Ag  0.2500  0.8774  0.6440  5 Sm 3.00-3.12, 2 Tm 3.04
Sm  0.2500  0.2928  0.5466  4 Ag 3.02-3.12
Tm  0.7500  0.1950  0.7849  5 Ag 3.04-3.08
Sm  0.7500  0.7072  0.4534  4 Ag 3.02-3.12
Ag  0.7500  0.1226  0.3560  5 Sm 3.00-3.12, 2 Tm 3.04
Sm  0.2500  0.7692  0.8776  5 Ag 3.00-3.15
Tm  0.2500  0.8050  0.2151  5 Ag 3.04-3.08
Ag  0.7500  0.6630  0.0320  2 Ag 2.92, 4 Sm 3.03-3.15, 3 Tm 3.06-3.08
Sm  0.7500  0.2308  0.1224  5 Ag 3.00-3.15

Values from the calculation:
Density of states at the Fermi level (states/eV/f.u.): 5.65
Space-group type: P2_1/m

---

Quick one: most stable of them? A

---

## A
Material: SmTm3Ag2
Method: DFT, PBE
State: optimized geometry

Cell lengths 7.0219, 7.3412, 8.6060 Å; angles 115.25, 114.08, 90.00 degrees
With the nearest neighbours (Å) after each atom.
Element x y z (fractional)
Ag  0.8425  0.1441  0.2883  6 Tm 2.90-3.05, 1 Sm 2.92
Ag  0.4458  0.6441  0.2883  6 Tm 2.90-3.05, 1 Sm 2.92
Ag  0.5542  0.3559  0.7117  6 Tm 2.90-3.05, 1 Sm 2.92
Ag  0.1575  0.8559  0.7117  6 Tm 2.90-3.05, 1 Sm 2.92
Tm  0.7704  0.0204  0.5408  4 Ag 2.90-3.04
Sm  0.0000  0.0000  0.0000  2 Ag 2.92
Sm  0.0000  0.5000  0.0000  2 Ag 2.92
Tm  0.2296  0.9796  0.4592  4 Ag 2.90-3.04
Tm  0.5000  0.7500  0.0000  4 Ag 3.05
Tm  0.5000  0.2500  0.0000  4 Ag 3.05
Tm  0.2296  0.4796  0.4592  4 Ag 2.90-3.04
Tm  0.7704  0.5204  0.5408  4 Ag 2.90-3.04

Values from the calculation:
Density of states at the Fermi level (states/eV/f.u.): 7.38
Space-group type: Ibam

---

## B
Material: SmTm3Ag2
Method: DFT, PBE
State: optimized geometry

Cell lengths 3.5842, 3.5842, 12.2292 Å; angles 90.00, 90.00, 90.00 degrees
With the nearest neighbours (Å) after each atom.
Element x y z (fractional)
Tm  0.0000  0.0000  0.7063  4 Ag 3.10
Tm  0.0000  0.0000  0.0000  8 Ag 3.11
Ag  0.5000  0.5000  0.8521  8 Tm 3.10-3.11
Sm  0.5000  0.5000  0.5000  8 Tm 3.58, 4 Sm 3.58
Ag  0.5000  0.5000  0.1479  8 Tm 3.10-3.11
Tm  0.0000  0.0000  0.2937  4 Ag 3.10

Values from the calculation:
Density of states at the Fermi level (states/eV/f.u.): 6.34
Space-group type: P4/mmm

---

Quick one: most stable of them? B

---

## A
Material: SmTmZnAg
Method: DFT, PBE
State: optimized geometry

Cell lengths 3.6011, 3.6011, 7.2729 Å; angles 90.00, 90.00, 90.00 degrees
With the nearest neighbours (Å) after each atom.
Element x y z (fractional)
Zn  0.5000  0.5000  0.5922  4 Tm 3.04, 4 Sm 3.15, 1 Ag 3.39
Tm  0.0000  0.0000  0.3626  4 Zn 3.04, 4 Ag 3.07
Ag  0.5000  0.5000  0.1260  4 Tm 3.07, 4 Sm 3.26, 1 Zn 3.39
Sm  0.0000  0.0000  0.8471  4 Zn 3.15, 4 Ag 3.26, 1 Tm 3.52

Values from the calculation:
Density of states at the Fermi level (states/eV/f.u.): 3.66
Space-group type: P4mm

---

## B
Material: SmTmZnAg
Method: DFT, PBE
State: optimized geometry

Cell lengths 5.1200, 5.1200, 5.1200 Å; angles 60.00, 60.00, 60.00 degrees
With the nearest neighbours (Å) after each atom.
Element x y z (fractional)
Sm  0.7500  0.7500  0.7500  4 Zn 3.14, 4 Ag 3.14
Tm  0.2500  0.2500  0.2500  4 Zn 3.14, 4 Ag 3.14
Zn  0.0000  0.0000  0.0000  4 Tm 3.14, 4 Sm 3.14
Ag  0.5000  0.5000  0.5000  4 Tm 3.14, 4 Sm 3.14

Values from the calculation:
Density of states at the Fermi level (states/eV/f.u.): 2.57
Space-group type: F-43m

---

Quick one: most stable of them? A

---

## A
Material: Sm2Y2Ag
Method: DFT, PBE
State: optimized geometry

Cell lengths 5.1029, 5.1029, 12.7887 Å; angles 101.51, 101.51, 90.00 degrees
With the nearest neighbours (Å) after each atom.
Element x y z (fractional)
Sm  0.8253  0.8253  0.6507  2 Ag 3.15, 2 Sm 3.53
Y  0.6785  0.6785  0.3570  2 Ag 3.10
Sm  0.1747  0.1747  0.3493  2 Ag 3.15, 2 Sm 3.53
Ag  0.5000  0.5000  0.0000  4 Y 3.10, 4 Sm 3.15
Y  0.4285  0.9285  0.8570  2 Ag 3.10
Y  0.3215  0.3215  0.6430  2 Ag 3.10
Sm  0.5753  0.0753  0.1507  2 Ag 3.15, 2 Sm 3.53
Sm  0.9247  0.4247  0.8493  2 Ag 3.15, 2 Sm 3.53
Ag  0.2500  0.7500  0.5000  4 Y 3.10, 4 Sm 3.15
Y  0.0715  0.5715  0.1430  2 Ag 3.10

Values from the calculation:
Density of states at the Fermi level (states/eV/f.u.): 9.90
Space-group type: I4_1/amd

---

## B
Material: Sm2Y2Ag
Method: DFT, PBE
State: optimized geometry

Cell lengths 3.6045, 3.6045, 11.7542 Å; angles 98.82, 98.82, 90.00 degrees
With the nearest neighbours (Å) after each atom.
Element x y z (fractional)
Y  0.4185  0.4185  0.8370  4 Ag 3.16
Sm  0.8057  0.8057  0.6114  8 Sm 3.60-3.61, 4 Y 3.63
Sm  0.1943  0.1943  0.3886  8 Sm 3.60-3.61, 4 Y 3.63
Ag  0.0000  0.0000  0.0000  8 Y 3.16
Y  0.5815  0.5815  0.1630  4 Ag 3.16

Values from the calculation:
Density of states at the Fermi level (states/eV/f.u.): 6.70
Space-group type: I4/mmm

---

Quick one: most stable of them? B

---

## A
Material: Sm3Y2Ag2
Method: DFT, PBE
State: optimized geometry

Cell lengths 3.7780, 6.7551, 9.2845 Å; angles 114.24, 90.00, 106.24 degrees
With the nearest neighbours (Å) after each atom.
Element x y z (fractional)
Y  0.1471  0.2943  0.8123  2 Ag 3.12
Sm  0.6109  0.2218  0.4460  3 Ag 3.14-3.16, 1 Sm 3.43
Ag  0.1740  0.3480  0.2235  5 Sm 2.99-3.16, 2 Y 3.12
Sm  0.3891  0.7782  0.5540  3 Ag 3.14-3.16, 1 Sm 3.43
Ag  0.8260  0.6520  0.7765  5 Sm 2.99-3.16, 2 Y 3.12
Y  0.8529  0.7057  0.1877  2 Ag 3.12
Sm  0.5000  0.0000  0.0000  4 Ag 2.99

Values from the calculation:
Density of states at the Fermi level (states/eV/f.u.): 7.48
Space-group type: C2/m

---

## B
Material: Sm3Y2Ag2
Method: DFT, PBE
State: optimized geometry

Cell lengths 4.8458, 3.4617, 11.9613 Å; angles 90.00, 78.31, 90.00 degrees
With the nearest neighbours (Å) after each atom.
Element x y z (fractional)
Y  0.7078  0.5000  0.5845  4 Y 3.13-3.46, 1 Ag 3.23, 4 Sm 3.40
Y  0.2922  0.5000  0.4155  4 Y 3.13-3.46, 1 Ag 3.23, 4 Sm 3.40
Sm  0.1377  0.0000  0.7245  3 Sm 3.23-3.46, 4 Ag 3.38, 4 Y 3.40
Sm  0.0000  0.0000  0.0000  4 Sm 3.23-3.46, 8 Ag 3.40
Ag  0.5698  0.5000  0.8603  1 Y 3.23, 3 Ag 3.27-3.46, 8 Sm 3.38-3.40
Sm  0.8623  0.0000  0.2755  3 Sm 3.23-3.46, 4 Ag 3.38, 4 Y 3.40
Ag  0.4302  0.5000  0.1397  1 Y 3.23, 3 Ag 3.27-3.46, 8 Sm 3.38-3.40

Values from the calculation:
Density of states at the Fermi level (states/eV/f.u.): 8.63
Space-group type: Cmmm

---

Quick one: most stable of them? A

---

## A
Material: SmYZnAg
Method: DFT, PBE
State: optimized geometry

Cell lengths 3.6405, 3.6405, 7.2960 Å; angles 90.00, 90.00, 90.00 degrees
With the nearest neighbours (Å) after each atom.
Element x y z (fractional)
Y  0.0000  0.0000  0.3638  4 Zn 3.10, 4 Ag 3.15
Zn  0.5000  0.5000  0.5998  4 Y 3.10, 4 Sm 3.15
Sm  0.0000  0.0000  0.8484  4 Zn 3.15, 4 Ag 3.23
Ag  0.5000  0.5000  0.1160  4 Y 3.15, 4 Sm 3.23

Values from the calculation:
Density of states at the Fermi level (states/eV/f.u.): 3.99
Space-group type: P4mm

---

## B
Material: SmYZnAg
Method: DFT, PBE
State: optimized geometry

Cell lengths 5.1612, 5.1612, 5.1612 Å; angles 60.00, 60.00, 60.00 degrees
With the nearest neighbours (Å) after each atom.
Element x y z (fractional)
Ag  0.0000  0.0000  0.0000  4 Sm 3.16, 4 Y 3.16
Zn  0.5000  0.5000  0.5000  4 Y 3.16, 4 Sm 3.16
Y  0.7500  0.7500  0.7500  4 Zn 3.16, 4 Ag 3.16
Sm  0.2500  0.2500  0.2500  4 Zn 3.16, 4 Ag 3.16

Values from the calculation:
Density of states at the Fermi level (states/eV/f.u.): 2.78
Space-group type: F-43m

---

Quick one: most stable of them? A